# HfThGa2Ni5

Crystalline HfThGa2Ni5 at its relaxed geometry (PBE, Alexandria).

Cell and atoms, written as CIF:
```
data_HfThGa2Ni5
_chemical_formula_sum 'Hf1 Th1 Ga2 Ni5'
_cell_length_a 3.952
_cell_length_b 3.952
_cell_length_c 8.752
_cell_angle_alpha 90.00
_cell_angle_beta 90.00
_cell_angle_gamma 90.00
_space_group_name_H-M_alt 'P 1'
_space_group_IT_number 1
_space_group_name_Hall 'P 1'
loop_
_atom_site_label
_atom_site_fract_x
_atom_site_fract_y
_atom_site_fract_z
_atom_site_occupancy
Hf1 0.000 0.000 0.000 1
Th1 0.000 0.000 0.500 1
Ga1 0.500 0.500 0.136 1
Ga2 0.500 0.500 0.864 1
Ni1 0.000 0.500 0.279 1
Ni2 0.000 0.500 0.721 1
Ni3 0.500 0.000 0.279 1
Ni4 0.500 0.000 0.721 1
Ni5 0.500 0.500 0.500 1
```

Results
Density, kg/m3: 10245
Volume, Å³/atom: 15.19
Symmetry: No. 123
Formation energy, eV/atom: -0.329